The following is a DFT calculation (PBE with a Hubbard U) of a relaxed LiFePCO7 crystal.

Fermi-level density of states (states/eV/atom): 0.523
Crystal system: monoclinic
Size of the total moment (μB/cell): 8.07
Energy above the most stable polymorph in this dataset (meV per atom): 6
Total energy (eV/atom): -6.853

Lattice parameters (Å, degrees): 5.3498 6.4016 8.5936 90.00 93.89 90.00
Closest atoms and distances in Å follow each position.
Space group P2_1 (No. 4)
Symmetry-distinct sites (fractional):
Li  0.2381  0.0000  0.2993 x2  4 O 1.98-2.14
Fe  0.2071  0.6833  0.8511 x2  5 O 1.92-2.12
P  0.2715  0.1781  0.9305 x2  4 O 1.54-1.56
C  0.2574  0.6935  0.5603 x2  3 O 1.26-1.31
O  0.0385  0.6766  0.6148 x2  1 C 1.29
O  0.1429  0.1658  0.0878 x2  1 P 1.56
O  0.1862  0.3721  0.8352 x2  1 P 1.54
O  0.2015  0.9866  0.8290 x2  1 P 1.54
O  0.2890  0.7382  0.4206 x2  1 C 1.26
O  0.4406  0.6863  0.0302 x2  1 P 1.56
O  0.4447  0.6690  0.6642 x2  1 C 1.31